{"formula": "LaHO", "functional": "SCAN", "state": "single point on PBEsol structure", "dos_ef_per_ev_atom": 0.0000, "m_tot_mub_per_cell": 0.00, "e_tot_ev_per_atom": -20.047, "cell": [[-2.202, -4.095, 3.207], [6.431, 0.256, 4.741], [-3.583, 5.500, 4.563]], "species": ["La", "La", "La", "La", "La", "La", "La", "La", "H", "H", "H", "H", "H", "H", "H", "H", "O", "O", "O", "O", "O", "O", "O", "O"], "frac_coords": [[0.500, 0.250, 0.750], [0.500, 0.250, 0.250], [0.500, 0.750, 0.750], [0.500, 0.750, 0.250], [0.057, 0.500, 0.000], [0.943, 0.000, 0.500], [0.000, 0.500, 0.500], [0.000, 0.000, 0.000], [0.757, 0.500, 0.769], [0.757, 0.500, 0.231], [0.757, 0.731, 0.000], [0.757, 0.269, 0.000], [0.243, 0.769, 0.500], [0.243, 0.000, 0.731], [0.243, 0.000, 0.269], [0.243, 0.231, 0.500], [0.741, 0.264, 0.500], [0.741, 0.000, 0.236], [0.741, 0.000, 0.764], [0.741, 0.736, 0.500], [0.259, 0.236, 0.000], [0.259, 0.764, 0.000], [0.259, 0.500, 0.264], [0.259, 0.500, 0.736]]}